The following is a GGA-PBE calculation of Cu2PbAu after structural relaxation, from Alexandria.

Computed properties:
For the magnetization, the calculation gives 0.000 μB per atom. For the formation enthalpy at 0 K, the calculation gives 0.24 eV/atom. The space group is No. 166. The density of states at the Fermi level comes out at 1.187 states/eV/f.u.

Lattice parameters (Å, degrees): 8.379 8.379 8.379 22.37 22.37 22.37
Positions (direct):
Au (0.750, 0.750, 0.750)
Cu (0.007, 0.007, 0.007)
Cu (0.493, 0.493, 0.493)
Pb (0.250, 0.250, 0.250)